[1]
Density functional theory data (PBE) for a relaxed structure of KInP.

Cell: 5.0447 5.0447 5.0447 Å, 60.00 60.00 60.00°
Fractional coordinates of all 3 atoms:
In (0.7500, 0.7500, 0.7500)
K (0.0000, 0.0000, 0.0000)
P (0.5000, 0.5000, 0.5000)

Spin magnetization (μB per cell): 0.00
DOS at the Fermi energy (states/eV/f.u.): 1.23
VASP energy (eV per atom): -2.920
Energy relative to the elements (eV per atom): 0.162

[2]
Density functional theory data (PBE) for a relaxed structure of TaGeAs2Br.

Cell: 5.0481 5.0481 5.0860 Å, 90.00 90.00 90.00°
Fractional coordinates of all 5 atoms:
As (0.0000, 0.5000, 0.0000)
As (0.5000, 0.0000, 0.0000)
Ge (0.5000, 0.5000, 0.5000)
Br (0.0000, 0.0000, 0.5000)
Ta (0.0000, 0.0000, 0.0000)

Spin magnetization (μB per cell): 0.00
DOS at the Fermi energy (states/eV/f.u.): 2.93
Distance to the lowest polymorph of the same formula (meV/atom): 0
Uncorrected formation energy (meV/atom): 406
VASP energy (eV per atom): -5.083

[3]
Density functional theory data (PBE) for a relaxed structure of Li2SnS2.

Cell: 7.3663 7.3663 3.3411 Å, 90.00 90.00 90.00°
Fractional coordinates of all 10 atoms:
S (0.3271, 0.8271, 0.0000)
S (0.8271, 0.6729, 0.0000)
S (0.6729, 0.1729, 0.0000)
S (0.1729, 0.3271, 0.0000)
Sn (0.0000, 0.0000, 0.0000)
Sn (0.5000, 0.5000, 0.0000)
Li (0.1325, 0.6325, 0.5000)
Li (0.6325, 0.8675, 0.5000)
Li (0.8675, 0.3675, 0.5000)
Li (0.3675, 0.1325, 0.5000)

Spin magnetization (μB per cell): 0.00
DOS at the Fermi energy (states/eV/f.u.): 1.48
Uncorrected formation energy (meV/atom): -732
VASP energy (eV per atom): -3.949

[4]
Density functional theory data (PBE) for a relaxed structure of ZrZn12.

Cell: 5.2367 6.6817 6.6817 Å, 81.17 66.93 66.93°
Fractional coordinates of all 13 atoms:
Zr (0.0000, 0.0000, 0.0000)
Zn (0.5000, 0.0000, 0.5000)
Zn (0.0000, 0.0000, 0.5000)
Zn (0.5000, 0.5000, 0.0000)
Zn (0.0000, 0.5000, 0.0000)
Zn (0.0000, 0.6491, 0.3509)
Zn (0.0000, 0.3509, 0.6491)
Zn (0.6491, 0.3509, 0.3509)
Zn (0.3509, 0.6491, 0.6491)
Zn (0.5000, 0.2107, 0.7893)
Zn (0.5000, 0.7893, 0.2107)
Zn (0.7107, 0.7893, 0.7893)
Zn (0.2893, 0.2107, 0.2107)

Spin magnetization (μB per cell): 0.00
DOS at the Fermi energy (states/eV/f.u.): 3.90
VASP energy (eV per atom): -1.942
Energy relative to the elements (eV per atom): -0.108

[5]
Density functional theory data (PBE) for a relaxed structure of CePmEr.

Cell: 6.0892 3.5313 16.5502 Å, 115.23 42.61 89.99°
Last column: magnetic moment on the atom in μB.
Fractional coordinates of all 6 atoms:
Ce (0.7661, 0.7719, 0.5735)  0.43
Ce (0.2701, 0.2797, 0.5774)  0.43
Pm (0.2847, 0.9245, 0.9003)  -0.01
Pm (0.7514, 0.1270, 0.2506)  -0.01
Er (0.7740, 0.4359, 0.9058)  -0.01
Er (0.2622, 0.6155, 0.2450)  -0.01

Spin magnetization (μB per cell): 0.99
DOS at the Fermi energy (states/eV/f.u.): 6.45
Distance to the lowest polymorph of the same formula (meV/atom): 0
VASP energy (eV per atom): -5.016
Energy relative to the elements (eV per atom): 0.067

[6]
Density functional theory data (PBE) for a relaxed structure of Ba3Sr4Tl4.

Cell: 4.2710 10.8184 11.7820 Å, 117.33 100.44 90.00°
Fractional coordinates of all 11 atoms:
Ba (0.0973, 0.0973, 0.1946)
Ba (0.9027, 0.9027, 0.8054)
Ba (0.0000, 0.5000, 0.0000)
Sr (0.3310, 0.1432, 0.6620)
Sr (0.6690, 0.4812, 0.3380)
Sr (0.6690, 0.8568, 0.3380)
Sr (0.3310, 0.5188, 0.6620)
Tl (0.2593, 0.7593, 0.5186)
Tl (0.7407, 0.2407, 0.4814)
Tl (0.5000, 0.7772, 0.0000)
Tl (0.5000, 0.2228, 0.0000)

Spin magnetization (μB per cell): 0.00
DOS at the Fermi energy (states/eV/f.u.): 14.50
VASP energy (eV per atom): -2.300
Energy relative to the elements (eV per atom): -0.303